Record 1
! RbTeW2 (GGA-PBE, optimized geometry); values from VASP
! Crystal system ... tetragonal
! Space group ... No. 122
! DFT total energy ... -6.0492 eV per atom
&SYSTEM
  ibrav = 0, nat = 16, ntyp = 3
/
ATOMIC_SPECIES
Rb 85.47 Rb.upf
Te 127.60 Te.upf
W 183.84 W.upf
CELL_PARAMETERS angstrom
4.799 0.000 0.000
0.000 4.799 0.000
0.000 0.000 20.021
ATOMIC_POSITIONS angstrom
Rb 0.000 0.000 0.000
Rb 0.000 2.400 5.005
Rb 2.400 0.000 15.016
Rb 2.400 2.400 10.011
Te 0.000 0.000 10.011
Te 0.000 2.400 15.016
Te 2.400 0.000 5.005
Te 2.400 2.400 0.000
W 0.379 1.200 12.513
W 1.200 2.778 17.519
W 1.200 4.421 7.508
W 2.021 1.200 2.503
W 2.778 3.599 2.503
W 3.599 0.379 7.508
W 3.599 2.021 17.519
W 4.421 3.599 12.513

Record 2
! RbTe3W (GGA-PBE, optimized geometry); values from VASP
! Crystal system ... cubic
! Space group ... No. 221
! DFT total energy ... -4.6118 eV per atom
&SYSTEM
  ibrav = 0, nat = 5, ntyp = 3
/
ATOMIC_SPECIES
Rb 85.47 Rb.upf
Te 127.60 Te.upf
W 183.84 W.upf
CELL_PARAMETERS angstrom
5.466 0.000 0.000
0.000 5.466 0.000
0.000 0.000 5.466
ATOMIC_POSITIONS angstrom
Rb 0.000 0.000 0.000
Te 0.000 2.733 2.733
Te 2.733 0.000 2.733
Te 2.733 2.733 0.000
W 2.733 2.733 2.733

Record 3
! RbTe4W (GGA-PBE, optimized geometry); values from VASP
! Crystal system ... monoclinic
! Space group ... No. 15
! DFT total energy ... -4.6157 eV per atom
&SYSTEM
  ibrav = 0, nat = 12, ntyp = 3
/
ATOMIC_SPECIES
Rb 85.47 Rb.upf
Te 127.60 Te.upf
W 183.84 W.upf
CELL_PARAMETERS angstrom
5.014 -7.698 0.000
5.014 7.698 0.000
-2.197 0.000 5.900
ATOMIC_POSITIONS angstrom
Rb 3.366 5.564 4.425
Rb 4.464 -5.564 1.475
Te 0.789 0.901 5.135
Te 3.084 2.170 2.662
Te 1.887 -0.901 2.185
Te 5.845 2.170 0.288
Te 1.985 -2.170 5.612
Te 5.943 0.901 3.715
Te 4.747 -2.170 3.238
Te 7.041 -0.901 0.765
W 4.464 0.020 1.475
W 3.366 -0.020 4.425

Record 4
! RbTeW3 (GGA-PBE, optimized geometry); values from VASP
! Crystal system ... cubic
! Space group ... No. 221
! DFT total energy ... -5.9350 eV per atom
&SYSTEM
  ibrav = 0, nat = 5, ntyp = 3
/
ATOMIC_SPECIES
Rb 85.47 Rb.upf
Te 127.60 Te.upf
W 183.84 W.upf
CELL_PARAMETERS angstrom
5.073 0.000 0.000
0.000 5.073 0.000
0.000 0.000 5.073
ATOMIC_POSITIONS angstrom
Rb 0.000 0.000 0.000
Te 2.536 2.536 2.536
W 0.000 2.536 2.536
W 2.536 0.000 2.536
W 2.536 2.536 0.000

Record 5
! Rb2ZnTeW (GGA-PBE, optimized geometry); values from VASP
! Crystal system ... tetragonal
! Space group ... No. 123
! DFT total energy ... -2.9020 eV per atom
&SYSTEM
  ibrav = 0, nat = 5, ntyp = 4
/
ATOMIC_SPECIES
Rb 85.47 Rb.upf
Zn 65.41 Zn.upf
Te 127.60 Te.upf
W 183.84 W.upf
CELL_PARAMETERS angstrom
6.216 0.000 0.000
0.000 6.216 0.000
0.000 0.000 5.228
ATOMIC_POSITIONS angstrom
Rb 0.000 3.108 0.000
Rb 3.108 0.000 0.000
Zn 0.000 0.000 0.000
Te 3.108 3.108 2.614
W 0.000 0.000 2.614

Record 6
! RbYTe3 (GGA-PBE, optimized geometry); values from VASP
! Crystal system ... cubic
! Space group ... No. 221
! DFT total energy ... -4.2030 eV per atom
&SYSTEM
  ibrav = 0, nat = 5, ntyp = 3
/
ATOMIC_SPECIES
Rb 85.47 Rb.upf
Y 88.91 Y.upf
Te 127.60 Te.upf
CELL_PARAMETERS angstrom
5.962 0.000 0.000
0.000 5.962 0.000
0.000 0.000 5.962
ATOMIC_POSITIONS angstrom
Rb 0.000 0.000 0.000
Y 2.981 2.981 2.981
Te 0.000 2.981 2.981
Te 2.981 0.000 2.981
Te 2.981 2.981 0.000

Record 7
! RbY2Te2 (GGA-PBE, optimized geometry); values from VASP
! Crystal system ... tetragonal
! Space group ... No. 139
! DFT total energy ... -4.9418 eV per atom
&SYSTEM
  ibrav = 0, nat = 10, ntyp = 3
/
ATOMIC_SPECIES
Rb 85.47 Rb.upf
Y 88.91 Y.upf
Te 127.60 Te.upf
CELL_PARAMETERS angstrom
5.025 0.000 0.000
0.000 5.025 0.000
0.000 0.000 15.436
ATOMIC_POSITIONS angstrom
Rb 0.000 0.000 0.000
Rb 2.513 2.513 7.718
Y 0.000 2.513 3.859
Y 0.000 2.513 11.577
Y 2.513 0.000 3.859
Y 2.513 0.000 11.577
Te 0.000 0.000 5.596
Te 0.000 0.000 9.840
Te 2.513 2.513 2.122
Te 2.513 2.513 13.314

Record 8
! RbY2Te2 (GGA-PBE, optimized geometry); values from VASP
! Crystal system ... tetragonal
! Space group ... No. 127
! DFT total energy ... -4.8166 eV per atom
&SYSTEM
  ibrav = 0, nat = 10, ntyp = 3
/
ATOMIC_SPECIES
Rb 85.47 Rb.upf
Y 88.91 Y.upf
Te 127.60 Te.upf
CELL_PARAMETERS angstrom
8.929 0.000 0.000
0.000 8.929 0.000
0.000 0.000 3.942
ATOMIC_POSITIONS angstrom
Rb 0.000 0.000 0.000
Rb 4.465 4.465 0.000
Y 1.275 3.189 1.971
Y 3.189 7.654 1.971
Y 5.740 1.275 1.971
Y 7.654 5.740 1.971
Te 1.279 5.743 0.000
Te 3.186 1.279 0.000
Te 5.743 7.650 0.000
Te 7.650 3.186 0.000

Record 9
! RbY3Te4 (GGA-PBE, optimized geometry); values from VASP
! Crystal system ... hexagonal
! Space group ... No. 194
! DFT total energy ... -5.4703 eV per atom
&SYSTEM
  ibrav = 0, nat = 16, ntyp = 3
/
ATOMIC_SPECIES
Rb 85.47 Rb.upf
Y 88.91 Y.upf
Te 127.60 Te.upf
CELL_PARAMETERS angstrom
4.443 0.000 0.000
-2.221 3.848 0.000
0.000 0.000 31.261
ATOMIC_POSITIONS angstrom
Rb 0.000 2.565 7.815
Rb 2.221 1.283 23.445
Y 0.000 0.000 0.000
Y 0.000 0.000 15.630
Y 0.000 2.565 19.139
Y 0.000 2.565 27.752
Y 2.221 1.283 3.508
Y 2.221 1.283 12.122
Te 0.000 0.000 5.228
Te 0.000 0.000 10.402
Te 0.000 0.000 20.859
Te 0.000 0.000 26.032
Te 0.000 2.565 1.747
Te 0.000 2.565 13.884
Te 2.221 1.283 17.377
Te 2.221 1.283 29.514

Record 10
! Rb5YTe4 (GGA-PBE, optimized geometry); values from VASP
! Crystal system ... monoclinic
! Space group ... No. 12
! DFT total energy ... -3.4027 eV per atom
&SYSTEM
  ibrav = 0, nat = 10, ntyp = 3
/
ATOMIC_SPECIES
Rb 85.47 Rb.upf
Y 88.91 Y.upf
Te 127.60 Te.upf
CELL_PARAMETERS angstrom
10.916 -2.536 0.000
10.916 2.536 0.000
-3.956 0.000 8.421
ATOMIC_POSITIONS angstrom
Rb 0.000 0.000 0.000
Rb 6.860 0.000 0.588
Rb 4.823 0.000 4.911
Rb 13.054 0.000 3.510
Rb 11.016 0.000 7.833
Y -1.978 0.000 4.210
Te 0.987 0.000 5.610
Te 9.806 0.000 2.371
Te 8.070 0.000 6.050
Te 16.890 0.000 2.811

Record 11
! Rb2YTe2 (GGA-PBE, optimized geometry); values from VASP
! Crystal system ... tetragonal
! Space group ... No. 139
! DFT total energy ... -3.3985 eV per atom
&SYSTEM
  ibrav = 0, nat = 10, ntyp = 3
/
ATOMIC_SPECIES
Rb 85.47 Rb.upf
Y 88.91 Y.upf
Te 127.60 Te.upf
CELL_PARAMETERS angstrom
4.481 0.000 0.000
0.000 4.481 0.000
0.000 0.000 17.568
ATOMIC_POSITIONS angstrom
Rb 0.000 2.241 4.392
Rb 0.000 2.241 13.176
Rb 2.241 0.000 4.392
Rb 2.241 0.000 13.176
Y 0.000 0.000 0.000
Y 2.241 2.241 8.784
Te 0.000 0.000 7.080
Te 0.000 0.000 10.488
Te 2.241 2.241 1.704
Te 2.241 2.241 15.864

Record 12
! Rb3YTe (GGA-PBE, optimized geometry); values from VASP
! Crystal system ... cubic
! Space group ... No. 221
! DFT total energy ... -1.8292 eV per atom
&SYSTEM
  ibrav = 0, nat = 5, ntyp = 3
/
ATOMIC_SPECIES
Rb 85.47 Rb.upf
Y 88.91 Y.upf
Te 127.60 Te.upf
CELL_PARAMETERS angstrom
6.883 0.000 0.000
0.000 6.883 0.000
0.000 0.000 6.883
ATOMIC_POSITIONS angstrom
Rb 0.000 0.000 3.441
Rb 0.000 3.441 0.000
Rb 3.441 0.000 0.000
Y 0.000 0.000 0.000
Te 3.441 3.441 3.441